Entry 1:
Compound: Tb2SmY3Ho6
Source: the Alexandria database
Functional: PBE
Structure: relaxed

a = 6.1533 Å, b = 10.6463 Å, c = 11.7649 Å
α = 90.00°, β = 99.99°, γ = 90.00°
Last column: nearest neighbours and their distance in Å.
Space group C2/m (No. 12)
Inequivalent atoms, fractional coordinates:
Tb1 0.0000 0.1667 0.0000  6 Ho 3.55, 3 Sm 3.55, 3 Tb 3.55
Sm1 0.0000 0.5000 0.0000  6 Ho 3.55, 6 Tb 3.55
Y1 0.0000 0.0000 0.5000  6 Ho 3.55, 6 Y 3.55
Y2 0.0000 0.3332 0.5000  6 Ho 3.54-3.55, 6 Y 3.55
Ho1 0.2492 0.1668 0.7498  3 Y 3.54-3.55, 2 Tb 3.55, 6 Ho 3.55, 1 Sm 3.55
Ho2 0.2503 0.0000 0.2501  6 Ho 3.55, 1 Sm 3.55, 3 Y 3.55, 2 Tb 3.55

Values from the calculation:
Energy of formation, eV per atom: 0.0195


Entry 2:
Compound: Tb3SmYHo
Source: the Alexandria database
Functional: PBE
Structure: relaxed

a = 5.6972 Å, b = 7.0164 Å, c = 9.6265 Å
α = 90.01°, β = 90.13°, γ = 90.01°
Last column: nearest neighbours and their distance in Å.
Space group P-1 (No. 2)
Inequivalent atoms, fractional coordinates:
Tb1 0.2215 0.2510 0.0819  1 Tb 3.25, 4 Sm 3.25-3.53, 1 Ho 3.60, 1 Y 3.61
Tb2 0.2231 0.7493 0.4176  1 Sm 3.25, 4 Tb 3.26-3.53, 2 Ho 3.58-3.63, 2 Y 3.59-3.63
Tb3 0.2769 0.2508 0.4177  5 Tb 3.25-3.53, 2 Ho 3.59-3.63, 2 Y 3.59-3.63
Sm1 0.2792 0.7499 0.0816  5 Tb 3.25-3.53, 1 Ho 3.60, 1 Y 3.60
Y1 0.2499 0.9990 0.7472  2 Ho 3.50-3.52, 9 Tb 3.59-3.85, 3 Sm 3.60-3.86
Ho1 0.2500 0.5007 0.7476  2 Y 3.50-3.52, 9 Tb 3.58-3.84, 3 Sm 3.60-3.86

Values from the calculation:
Energy of formation, eV per atom: 0.0584


Entry 3:
Compound: Tb2Sm2YHo2
Source: the Alexandria database
Functional: PBE
Structure: relaxed

a = 5.6882 Å, b = 5.6882 Å, c = 24.4719 Å
α = 90.00°, β = 90.00°, γ = 120.00°
Last column: nearest neighbours and their distance in Å.
Space group R-3m (No. 166, hexagonal axes)
Inequivalent atoms, fractional coordinates:
Tb1 0.0000 0.0000 0.2168  4 Ho 3.45-3.51, 3 Y 3.51, 1 Sm 3.52
Sm1 0.0000 0.0000 0.3605  1 Y 3.41, 3 Ho 3.47, 1 Tb 3.52, 3 Sm 3.54
Y1 0.0000 0.0000 0.5000  2 Sm 3.41, 6 Tb 3.51
Ho1 0.0000 0.0000 0.0733  4 Tb 3.45-3.51, 3 Sm 3.47, 1 Ho 3.59

Values from the calculation:
Energy of formation, eV per atom: 0.1409


Number 1: VASP energy -5.0503 eV/atom. Number 2: VASP energy -4.8836 eV/atom. Number 3: VASP energy -4.7617 eV/atom.